Crystalline IrPt2Se at its relaxed geometry. Source: Alexandria via LeMat-Bulk, functional PBE. Values from VASP.

Summary:
electronic total energy	-5.81	eV per atom
formation energy (no corrections)	0.29	eV/atom
volume	64.31	Å³/f.u.
space group	R-3m (166)

Geometry as Quantum ESPRESSO input:
```
&SYSTEM
  ibrav = 0, nat = 4, ntyp = 3
/
ATOMIC_SPECIES
Pt 195.08 Pt.upf
Se 78.96 Se.upf
Ir 192.22 Ir.upf
CELL_PARAMETERS angstrom
-3.6601 -4.6863 6.6460
-4.1850 -6.5072 4.4350
-1.6142 -6.5781 5.8008
ATOMIC_POSITIONS crystal
Pt 0.9993 0.9993 0.9993
Pt 0.5007 0.5007 0.5007
Se 0.2500 0.2500 0.2500
Ir 0.7500 0.7500 0.7500
```


Crystalline IrPt2Se at its relaxed geometry. Source: Alexandria via LeMat-Bulk, functional PBE. Values from VASP.

Summary:
electronic total energy	-5.71	eV per atom
formation energy (no corrections)	0.40	eV/atom
volume	64.16	Å³/f.u.
space group	I-4m2 (119)

Geometry as Quantum ESPRESSO input:
```
&SYSTEM
  ibrav = 0, nat = 4, ntyp = 3
/
ATOMIC_SPECIES
Pt 195.08 Pt.upf
Se 78.96 Se.upf
Ir 192.22 Ir.upf
CELL_PARAMETERS angstrom
4.7581 -0.0385 0.0000
1.2040 4.6034 0.0000
-2.9811 -2.2825 2.9231
ATOMIC_POSITIONS crystal
Pt 0.0000 0.0000 0.0000
Pt 0.2500 0.7500 0.5000
Se 0.5000 0.5000 0.0000
Ir 0.7500 0.2500 0.5000
```